B2PdBr | GGA-PBE | optimized geometry

```
B2PdBr
1.0
1.4356 1.1307 3.8704
-2.7166 1.5516 2.9210
-1.0223 -2.3457 3.4311
B Br Pd
2 1 1
Direct
0.2500 0.2500 0.2500
0.7500 0.7500 0.7500
0.0000 0.0000 0.0000
0.5000 0.5000 0.5000
```

Summary:
- space group = Fm-3m
- formation energy (no corrections) (eV per atom) = 1.89
- DOS(E_F) (states/eV/cell) = 3.415
- total magnetization (μB per formula unit) = 0.00

=====

B2PdBr2 | GGA-PBE | optimized geometry

```
B2PdBr2
1.0
-0.2129 3.6591 -5.1926
-2.0650 -4.9532 -3.4058
-4.2062 1.1013 0.9486
B Br Pd
4 4 2
Direct
0.2270 0.7270 0.0000
0.7270 0.7730 0.0000
0.7730 0.2730 0.0000
0.2730 0.2270 0.0000
0.1897 0.6897 0.5000
0.6897 0.8103 0.5000
0.8103 0.3103 0.5000
0.3103 0.1897 0.5000
0.0000 0.0000 0.0000
0.5000 0.5000 0.0000
```

Summary:
- space group = P4/mbm
- formation energy (no corrections) (eV per atom) = 0.98
- DOS(E_F) (states/eV/cell) = 4.073
- total magnetization (μB per formula unit) = 0.00

=====

B3PdBr | GGA-PBE | optimized geometry

```
B3PdBr
1.0
-0.2378 -1.2782 -3.8703
3.7147 -1.6635 0.3211
-1.6774 -3.5027 1.2598
B Br Pd
3 1 1
Direct
0.0000 0.5000 0.0000
0.0000 0.0000 0.5000
0.5000 0.0000 0.0000
0.0000 0.0000 0.0000
0.5000 0.5000 0.5000
```

Summary:
- space group = Pm-3m
- formation energy (no corrections) (eV per atom) = 2.46
- DOS(E_F) (states/eV/cell) = 2.254
- total magnetization (μB per formula unit) = 0.00

=====

BPd2PtBr | GGA-PBE | optimized geometry

```
BPd2PtBr
1.0
-1.6157 -3.2312 2.4124
1.3248 -2.7839 -2.8415
3.7916 -0.3328 2.0938
B Br Pd Pt
1 1 2 1
Direct
0.0000 0.0000 0.0000
0.5000 0.5000 0.5000
0.0000 0.0000 0.5000
0.5000 0.0000 0.0000
0.0000 0.5000 0.0000
```

Summary:
- space group = P4/mmm
- formation energy (no corrections) (eV per atom) = 0.16
- DOS(E_F) (states/eV/cell) = 0.762
- total magnetization (μB per formula unit) = 0.00

=====

BPdPt2Br | GGA-PBE | optimized geometry

```
BPdPt2Br
1.0
4.7906 0.0000 0.0000
0.0000 4.0517 0.0000
0.0000 0.0000 4.7906
B Br Pd Pt
1 1 1 2
Direct
0.0000 0.5000 0.0000
0.0000 0.0000 0.0000
0.5000 0.5000 0.5000
0.0000 0.0000 0.5000
0.5000 0.0000 0.0000
```

Summary:
- space group = P4/mmm
- formation energy (no corrections) (eV per atom) = 1.65
- DOS(E_F) (states/eV/cell) = 6.576
- total magnetization (μB per formula unit) = 0.00

=====

Rb2BPdBr6 | GGA-PBE | optimized geometry

```
Rb2BPdBr6
1.0
7.1588 0.0000 0.0000
0.0000 7.1588 0.0000
3.5794 3.5794 5.8282
B Br Rb Pd
1 6 2 1
Direct
0.5000 0.5000 0.0000
0.2146 0.2146 0.5708
0.7854 0.7854 0.4292
0.2797 0.2797 0.0000
0.7203 0.7203 0.0000
0.7203 0.2797 0.0000
0.2797 0.7203 0.0000
0.7500 0.2500 0.5000
0.2500 0.7500 0.5000
0.0000 0.0000 0.0000
```

Summary:
- space group = I4/mmm
- formation energy (no corrections) (eV per atom) = -0.62
- DOS(E_F) (states/eV/cell) = 3.563
- total magnetization (μB per formula unit) = 0.00